Record 1
Below is Pr2NdMgN after structural relaxation, with properties calculated at the PBE level.

The structure belongs to space group P4/mmm (No. 123); the cell edges are 5.1346, 5.1346 and 5.0702 Å and the angles 90.00°, 90.00° and 90.00°. The inequivalent atoms are Pr at (0.0000, 0.5000, 0.0000), Nd at (0.0000, 0.0000, 0.5000), Mg at (0.5000, 0.5000, 0.5000) and N at (0.0000, 0.0000, 0.0000).

Record 2
Below is Sr6AuN3 after structural relaxation, with properties calculated at the PBE level.

The structure belongs to space group P2_1/m (No. 11); the cell edges are 10.9385, 3.8396 and 13.9077 Å and the angles 90.00°, 108.65° and 90.00°. The inequivalent atoms are Sr at (0.0211, 0.2500, 0.2640), Sr at (0.1266, 0.7500, 0.5736), Sr at (0.1928, 0.7500, 0.1105), Sr at (0.3001, 0.7500, 0.3818), Sr at (0.3597, 0.2500, 0.9484), Sr at (0.4733, 0.2500, 0.2182), Au at (0.3806, 0.2500, 0.5883), N at (0.0297, 0.7500, 0.3854), N at (0.2473, 0.2500, 0.2442) and N at (0.4165, 0.7500, 0.0805).

Looking at raw formation energy for the records above, in order, we have -0.57 -0.56 eV/atom.